TbDy8Sc4 PBE optimized geometry; N(E_F) = 1.241 states/eV/atom; V = 29.708 A^3/atom; ΔH_f (0 K) = 0.254 eV per atom; calculated density = 7.05 g/cm3
1.0
2.639 -0.611 -6.495
1.605 -4.775 4.914
-9.437 -2.913 0.251
Tb Dy Sc
1 8 4
Cartesian
-3.916 -3.844 2.583 Tb
-0.579 -5.126 0.247 Dy
-4.614 -3.173 -1.576 Dy
-1.005 -2.321 -1.927 Dy
-3.859 -3.657 -5.037 Dy
-4.187 -5.979 0.597 Dy
-2.985 -6.257 -2.361 Dy
-2.207 -2.042 1.031 Dy
-1.333 -4.642 3.707 Dy
0.000 0.000 0.000 Sc
0.803 -2.387 2.457 Sc
2.122 -2.693 -0.790 Sc
1.320 -0.305 -3.247 Sc